1.
First-principles (PBE) data for a relaxed structure of PaAgBiO4, as listed in Alexandria via LeMat-Bulk.

a = 7.310 Å, b = 7.245 Å, c = 6.336 Å
α = 115.93°, β = 90.00°, γ = 120.29°
Positions (direct):
O 0.288 0.116 0.308
O 0.827 0.116 0.308
Pa 0.000 0.500 0.500
Bi 0.500 0.000 0.500
O 0.729 0.458 0.692
O 0.271 0.542 0.735
Ag 0.897 0.794 0.147
O 0.729 0.458 0.265
O 0.173 0.884 0.692
Pa 0.500 0.500 0.500
Ag 0.103 0.206 0.853
O 0.712 0.884 0.692
Bi 0.500 0.000 0.000
O 0.271 0.542 0.308

Output
**E_form (uncorrected)**: -1.88 eV/atom
**Space-group type**: Imma (74)
**Magnetic moment**: 0.000 μB per atom
**Electronic total energy**: -7.03 eV/atom

=====

2.
First-principles (PBE) data for a relaxed structure of AgBiPbO5, as listed in Alexandria via LeMat-Bulk.

a = 6.103 Å, b = 6.103 Å, c = 8.451 Å
α = 108.63°, β = 108.63°, γ = 95.20°
Positions (direct):
O 0.720 0.675 0.850
Ag 0.684 0.316 0.250
O 0.735 0.230 0.994
Bi 0.692 0.308 0.750
O 0.325 0.280 0.650
O 0.280 0.325 0.150
O 0.059 0.941 0.250
O 0.770 0.265 0.506
O 0.265 0.770 0.006
O 0.675 0.720 0.350
Ag 0.316 0.684 0.750
Bi 0.308 0.692 0.250
Pb 0.000 0.000 0.000
O 0.230 0.735 0.494
O 0.941 0.059 0.750
Pb 0.000 0.000 0.500

Output
**E_form (uncorrected)**: -0.54 eV/atom
**Space-group type**: C2/c (15)
**Magnetic moment**: 0.000 μB per atom
**Electronic total energy**: -4.95 eV/atom

=====

3.
First-principles (PBE) data for a relaxed structure of PmAgBiO4, as listed in Alexandria via LeMat-Bulk.

a = 6.053 Å, b = 6.053 Å, c = 7.434 Å
α = 90.00°, β = 90.00°, γ = 116.30°
Last column: magnetic moment on the atom in μB.
Positions (direct):
O 0.275 0.725 0.519  0.10
O 0.272 0.247 0.750  0.08
O 0.725 0.275 0.019  0.10
O 0.753 0.728 0.750  0.08
O 0.728 0.753 0.250  0.08
O 0.725 0.275 0.481  0.10
Ag 0.814 0.186 0.750  0.03
Pm 0.500 0.500 0.500  0.01
O 0.247 0.272 0.250  0.08
Bi 0.152 0.848 0.750  0.04
Bi 0.848 0.152 0.250  0.04
Pm 0.500 0.500 0.000  0.01
O 0.275 0.725 0.981  0.10
Ag 0.186 0.814 0.250  0.03

Output
**E_form (uncorrected)**: -1.53 eV/atom
**Space-group type**: Cmcm (63)
**Magnetic moment**: 0.074 μB per atom
**Electronic total energy**: -6.01 eV/atom